[1]
A relaxed structure of MgSn2F. Source: Alexandria, functional PBE-GGA.

Lattice parameters (Å, degrees): 5.081 5.081 8.899 73.41 73.41 90.00
Positions (direct):
Sn  0.875  0.780  0.750
Sn  0.220  0.625  0.250
Sn  0.375  0.470  0.750
Sn  0.530  0.125  0.250
F  0.500  0.500  0.000
F  0.250  0.750  0.500
Mg  0.750  0.250  0.500
Mg  0.000  0.000  0.000

As for the energy relative to the elements, uncorrected: -52 kJ per mole of atoms. The distance to the lowest polymorph of the same formula comes out at 16 meV/atom.



[2]
A relaxed structure of BaTlIO6. Source: Alexandria, functional PBE-GGA.

Lattice parameters (Å, degrees): 5.646 5.646 5.670 90.00 90.00 60.00
Positions (direct):
O  0.600  0.352  0.698
O  0.600  0.049  0.302
O  0.352  0.049  0.698
O  0.049  0.352  0.302
O  0.048  0.600  0.698
O  0.352  0.600  0.302
I  0.333  0.333  0.500
Tl  0.667  0.667  0.500
Ba  0.000  0.000  0.000

As for the energy relative to the elements, uncorrected: -105 kJ per mole of atoms.



[3]
A relaxed structure of NaInPtPb. Source: Alexandria, functional PBE-GGA.

Lattice parameters (Å, degrees): 4.942 4.942 4.942 60.00 60.00 60.00
Positions (direct):
Pt  0.000  0.000  0.000
Pb  0.250  0.250  0.250
In  0.750  0.750  0.750
Na  0.500  0.500  0.500

As for the energy of formation from the pure elements: -0.19 eV/atom.